Entry 1:
# ZnIn2Cu2Au5, optimized geometry, DFT PBE
data_ZnIn2Cu2Au5
_cell_length_a 9.667
_cell_length_b 9.667
_cell_length_c 3.871
_cell_angle_alpha 90.00
_cell_angle_beta 90.00
_cell_angle_gamma 90.00
_symmetry_space_group_name_H-M 'P 4/m b m'
_symmetry_Int_Tables_number 127
_symmetry_space_group_name_Hall '-P 4 2ab'
loop_
_atom_site_label
_atom_site_type_symbol
_atom_site_fract_x
_atom_site_fract_y
_atom_site_fract_z
_atom_site_occupancy
Zn1 Zn 0.000 0.000 0.000 1
In1 In 0.164 0.336 0.000 1
Cu1 Cu 0.129 0.629 0.000 1
Au1 Au 0.000 0.500 0.500 1
Au2 Au 0.101 0.818 0.500 1
# Energy of formation from the pure elements   -85 meV per atom

=====

Entry 2:
# Sm6Te3Pb2Se, optimized geometry, DFT PBE
data_Sm6Te3Pb2Se
_cell_length_a 19.368
_cell_length_b 4.440
_cell_length_c 8.896
_cell_angle_alpha 90.00
_cell_angle_beta 103.65
_cell_angle_gamma 90.00
_symmetry_space_group_name_H-M 'C 1 2/m 1'
_symmetry_Int_Tables_number 12
_symmetry_space_group_name_Hall '-C 2y'
loop_
_atom_site_label
_atom_site_type_symbol
_atom_site_fract_x
_atom_site_fract_y
_atom_site_fract_z
_atom_site_occupancy
Sm1 Sm 0.001 0.000 0.234 1
Sm2 Sm 0.160 0.500 0.083 1
Sm3 Sm 0.167 0.500 0.578 1
Te1 Te 0.000 0.500 0.500 1
Te2 Te 0.168 0.000 0.834 1
Pb1 Pb 0.166 0.000 0.330 1
Se1 Se 0.000 0.500 0.000 1
# E_form (uncorrected)   -27.8 kcal/mol of atoms

=====

Entry 3:
# ZrFeRu2, optimized geometry, DFT PBE
data_ZrFeRu2
_cell_length_a 3.176
_cell_length_b 3.176
_cell_length_c 6.175
_cell_angle_alpha 90.00
_cell_angle_beta 90.00
_cell_angle_gamma 90.00
_symmetry_space_group_name_H-M 'P 4/m m m'
_symmetry_Int_Tables_number 123
_symmetry_space_group_name_Hall '-P 4 2'
loop_
_atom_site_label
_atom_site_type_symbol
_atom_site_fract_x
_atom_site_fract_y
_atom_site_fract_z
_atom_site_occupancy
Zr1 Zr 0.000 0.000 0.000 1
Fe1 Fe 0.000 0.000 0.500 1
Ru1 Ru 0.500 0.500 0.269 1
# Energy of formation from the pure elements   -173 meV per atom

=====

Entry 4:
# Zr2ScW, optimized geometry, DFT PBE
data_Zr2ScW
_cell_length_a 3.052
_cell_length_b 4.661
_cell_length_c 6.016
_cell_angle_alpha 90.00
_cell_angle_beta 102.36
_cell_angle_gamma 90.00
_symmetry_space_group_name_H-M 'P 1 2/m 1'
_symmetry_Int_Tables_number 10
_symmetry_space_group_name_Hall '-P 2y'
loop_
_atom_site_label
_atom_site_type_symbol
_atom_site_fract_x
_atom_site_fract_y
_atom_site_fract_z
_atom_site_occupancy
Zr1 Zr 0.184 0.000 0.271 1
Sc1 Sc 0.500 0.500 0.000 1
W1 W 0.000 0.500 0.500 1
# Distance to the lowest polymorph of the same formula   40 meV per atom
# Energy of formation from the pure elements   169 meV per atom

=====

Entry 5:
# La2AsRh2, optimized geometry, DFT PBE
data_La2AsRh2
_cell_length_a 3.834
_cell_length_b 3.834
_cell_length_c 16.040
_cell_angle_alpha 90.00
_cell_angle_beta 90.00
_cell_angle_gamma 90.00
_symmetry_space_group_name_H-M 'I 4/m m m'
_symmetry_Int_Tables_number 139
_symmetry_space_group_name_Hall '-I 4 2'
loop_
_atom_site_label
_atom_site_type_symbol
_atom_site_fract_x
_atom_site_fract_y
_atom_site_fract_z
_atom_site_occupancy
La1 La 0.000 0.000 0.109 1
As1 As 0.000 0.000 0.500 1
Rh1 Rh 0.000 0.500 0.250 1
# Distance to the lowest polymorph of the same formula   118 meV per atom
# Energy of formation from the pure elements   -722 meV per atom

=====

Entry 6:
# LaSeI3, optimized geometry, DFT PBE
data_LaSeI3
_cell_length_a 5.791
_cell_length_b 5.791
_cell_length_c 5.791
_cell_angle_alpha 90.00
_cell_angle_beta 90.00
_cell_angle_gamma 90.00
_symmetry_space_group_name_H-M 'P m -3 m'
_symmetry_Int_Tables_number 221
_symmetry_space_group_name_Hall '-P 4 2 3'
loop_
_atom_site_label
_atom_site_type_symbol
_atom_site_fract_x
_atom_site_fract_y
_atom_site_fract_z
_atom_site_occupancy
La1 La 0.000 0.000 0.000 1
Se1 Se 0.500 0.500 0.500 1
I1 I 0.000 0.500 0.500 1
# Distance to the lowest polymorph of the same formula   525 meV per atom
# E_form (uncorrected)   -2.7 kcal/mol of atoms

=====

Entry 7:
# Er7Mg2Co2, optimized geometry, DFT PBE
data_Er7Mg2Co2
_cell_length_a 3.506
_cell_length_b 16.002
_cell_length_c 10.176
_cell_angle_alpha 90.00
_cell_angle_beta 90.00
_cell_angle_gamma 90.00
_symmetry_space_group_name_H-M 'I m m 2'
_symmetry_Int_Tables_number 44
_symmetry_space_group_name_Hall 'I 2 -2'
loop_
_atom_site_label
_atom_site_type_symbol
_atom_site_fract_x
_atom_site_fract_y
_atom_site_fract_z
_atom_site_occupancy
Er1 Er 0.000 0.000 0.000 1
Er2 Er 0.000 0.169 0.563 1
Er3 Er 0.000 0.326 0.358 1
Er4 Er 0.000 0.358 0.727 1
Mg1 Mg 0.000 0.000 0.390 1
Mg2 Mg 0.000 0.500 0.185 1
Co1 Co 0.000 0.198 0.051 1
# Energy of formation from the pure elements   -85 meV per atom

=====

Entry 8:
# Fe2CuSiC, optimized geometry, DFT PBE
data_Fe2CuSiC
_cell_length_a 4.273
_cell_length_b 4.273
_cell_length_c 4.230
_cell_angle_alpha 90.00
_cell_angle_beta 90.00
_cell_angle_gamma 90.00
_symmetry_space_group_name_H-M 'P 4/m m m'
_symmetry_Int_Tables_number 123
_symmetry_space_group_name_Hall '-P 4 2'
loop_
_atom_site_label
_atom_site_type_symbol
_atom_site_fract_x
_atom_site_fract_y
_atom_site_fract_z
_atom_site_occupancy
Fe1 Fe 0.000 0.500 0.000 1
Cu1 Cu 0.000 0.000 0.500 1
Si1 Si 0.000 0.000 0.000 1
C1 C 0.500 0.500 0.500 1
# E_form (uncorrected)   42.0 kcal/mol of atoms

=====

Copy entry 5 word for word.
# La2AsRh2, optimized geometry, DFT PBE
data_La2AsRh2
_cell_length_a 3.834
_cell_length_b 3.834
_cell_length_c 16.040
_cell_angle_alpha 90.00
_cell_angle_beta 90.00
_cell_angle_gamma 90.00
_symmetry_space_group_name_H-M 'I 4/m m m'
_symmetry_Int_Tables_number 139
_symmetry_space_group_name_Hall '-I 4 2'
loop_
_atom_site_label
_atom_site_type_symbol
_atom_site_fract_x
_atom_site_fract_y
_atom_site_fract_z
_atom_site_occupancy
La1 La 0.000 0.000 0.109 1
As1 As 0.000 0.000 0.500 1
Rh1 Rh 0.000 0.500 0.250 1
# Distance to the lowest polymorph of the same formula   118 meV per atom
# Energy of formation from the pure elements   -722 meV per atom